# 1
{"formula": "V12Cr6Ge", "functional": "PBE", "state": "optimized geometry", "cell": [[-5.297, -3.378, -0.720], [2.575, -3.129, -4.855], [2.208, -4.428, 3.938]], "species": ["V", "V", "V", "V", "V", "V", "V", "V", "V", "V", "V", "V", "Cr", "Cr", "Cr", "Cr", "Cr", "Cr", "Ge"], "frac_coords": [[0.814, 0.521, 0.414], [0.414, 0.814, 0.521], [0.521, 0.414, 0.814], [0.186, 0.479, 0.586], [0.586, 0.186, 0.479], [0.479, 0.586, 0.186], [0.056, 0.145, 0.382], [0.855, 0.618, 0.944], [0.618, 0.944, 0.855], [0.944, 0.855, 0.618], [0.145, 0.382, 0.056], [0.382, 0.056, 0.145], [0.739, 0.880, 0.264], [0.736, 0.261, 0.120], [0.120, 0.736, 0.261], [0.261, 0.120, 0.736], [0.264, 0.739, 0.880], [0.880, 0.264, 0.739], [0.000, 0.000, 0.000]], "formation_enthalpy_0k_mev_per_atom": 116, "density_g_cm3": 6.54}

# 2
{"formula": "V3Cr2Ge4", "functional": "PBE", "state": "optimized geometry", "cell": [[4.741, -0.293, -0.210], [-0.016, 7.477, -0.005], [-0.016, 2.404, 7.080]], "species": ["V", "V", "V", "V", "V", "V", "Cr", "Cr", "Cr", "Cr", "Ge", "Ge", "Ge", "Ge", "Ge", "Ge", "Ge", "Ge"], "frac_coords": [[0.052, 0.045, 0.281], [0.448, 0.719, 0.955], [0.948, 0.955, 0.719], [0.552, 0.281, 0.045], [0.250, 0.616, 0.384], [0.750, 0.384, 0.616], [0.641, 0.137, 0.415], [0.859, 0.585, 0.863], [0.359, 0.863, 0.585], [0.141, 0.415, 0.137], [0.519, 0.926, 0.206], [0.981, 0.794, 0.074], [0.481, 0.074, 0.794], [0.019, 0.206, 0.926], [0.162, 0.255, 0.487], [0.338, 0.513, 0.745], [0.838, 0.745, 0.513], [0.662, 0.487, 0.255]], "formation_enthalpy_0k_mev_per_atom": -63, "density_g_cm3": 7.24}

# 3
{"formula": "VCr4Ge", "functional": "PBE", "state": "optimized geometry", "cell": [[4.739, 0.000, 0.000], [2.370, 4.104, 0.000], [2.370, 1.368, 3.870]], "species": ["Cr", "Cr", "Cr", "Cr", "Ge", "V"], "frac_coords": [[0.625, 0.625, 0.124], [0.625, 0.124, 0.625], [0.625, 0.625, 0.625], [0.124, 0.625, 0.625], [0.000, 0.000, 0.000], [0.250, 0.250, 0.250]], "formation_enthalpy_0k_mev_per_atom": 74, "density_g_cm3": 7.31}

# 4
{"formula": "V12Cr6Ge", "functional": "PBE", "state": "optimized geometry", "cell": [[6.692, -0.763, -1.409], [-1.571, 6.550, -1.409], [-0.675, -0.763, 6.805]], "species": ["V", "V", "V", "V", "V", "V", "V", "V", "V", "V", "V", "V", "Cr", "Cr", "Cr", "Cr", "Cr", "Cr", "Ge"], "frac_coords": [[0.874, 0.126, 0.500], [0.367, 0.101, 0.367], [0.367, 0.367, 0.101], [0.899, 0.633, 0.633], [0.633, 0.633, 0.899], [0.633, 0.899, 0.633], [0.500, 0.874, 0.126], [0.126, 0.500, 0.874], [0.126, 0.874, 0.500], [0.500, 0.126, 0.874], [0.874, 0.500, 0.126], [0.101, 0.367, 0.367], [0.703, 0.330, 0.703], [0.703, 0.703, 0.330], [0.330, 0.703, 0.703], [0.297, 0.297, 0.670], [0.297, 0.670, 0.297], [0.670, 0.297, 0.297], [0.000, 0.000, 0.000]], "formation_enthalpy_0k_mev_per_atom": 518, "density_g_cm3": 6.03}

Repeat the first record exactly.
{"formula": "V12Cr6Ge", "functional": "PBE", "state": "optimized geometry", "cell": [[-5.297, -3.378, -0.720], [2.575, -3.129, -4.855], [2.208, -4.428, 3.938]], "species": ["V", "V", "V", "V", "V", "V", "V", "V", "V", "V", "V", "V", "Cr", "Cr", "Cr", "Cr", "Cr", "Cr", "Ge"], "frac_coords": [[0.814, 0.521, 0.414], [0.414, 0.814, 0.521], [0.521, 0.414, 0.814], [0.186, 0.479, 0.586], [0.586, 0.186, 0.479], [0.479, 0.586, 0.186], [0.056, 0.145, 0.382], [0.855, 0.618, 0.944], [0.618, 0.944, 0.855], [0.944, 0.855, 0.618], [0.145, 0.382, 0.056], [0.382, 0.056, 0.145], [0.739, 0.880, 0.264], [0.736, 0.261, 0.120], [0.120, 0.736, 0.261], [0.261, 0.120, 0.736], [0.264, 0.739, 0.880], [0.880, 0.264, 0.739], [0.000, 0.000, 0.000]], "formation_enthalpy_0k_mev_per_atom": 116, "density_g_cm3": 6.54}